1.
# CeYScSe3 PBE relaxed
data_CeYScSe3
_chemical_formula_sum 'Ce2 Y2 Sc2 Se6'
_cell_length_a 8.406
_cell_length_b 3.999
_cell_length_c 9.478
_cell_angle_alpha 90.00
_cell_angle_beta 103.41
_cell_angle_gamma 90.00
_space_group_name_H-M_alt 'P 1 21/m 1'
_space_group_IT_number 11
loop_
_space_group_symop_operation_xyz
'x,y,z'
'-x,-y,-z'
'-x,y+1/2,-z'
'x,-y+1/2,z'
loop_
_atom_site_label
_atom_site_type_symbol
_atom_site_fract_x
_atom_site_fract_y
_atom_site_fract_z
Ce1 Ce 0.174 0.250 0.209
Y1 Y 0.348 0.750 0.875
Sc1 Sc 0.116 0.250 0.603
Se1 Se 0.103 0.250 0.882
Se2 Se 0.221 0.750 0.466
Se3 Se 0.438 0.750 0.187
# DOS at the Fermi energy (states/eV/cell): 18.2
# Formation energy without anion corrections (eV per atom): -1.5753



2.
# CeY3Sc2Se6 PBE relaxed
data_CeY3Sc2Se6
_chemical_formula_sum 'Ce2 Y6 Sc4 Se12'
_cell_length_a 17.596
_cell_length_b 4.026
_cell_length_c 8.127
_cell_angle_alpha 90.00
_cell_angle_beta 103.21
_cell_angle_gamma 90.00
_space_group_name_H-M_alt 'C 1 2/m 1'
_space_group_IT_number 12
loop_
_space_group_symop_operation_xyz
'x,y,z'
'-x,-y,-z'
'-x,y,-z'
'x,-y,z'
'x+1/2,y+1/2,z'
'-x+1/2,-y+1/2,-z'
'-x+1/2,y+1/2,-z'
'x+1/2,-y+1/2,z'
loop_
_atom_site_label
_atom_site_type_symbol
_atom_site_fract_x
_atom_site_fract_y
_atom_site_fract_z
Ce1 Ce 0.000 0.000 0.000
Y1 Y 0.000 0.000 0.500
Y2 Y 0.162 0.500 0.831
Sc1 Sc 0.164 0.500 0.326
Se1 Se 0.005 0.500 0.260
Se2 Se 0.172 0.000 0.095
Se3 Se 0.172 0.000 0.573
# DOS at the Fermi energy (states/eV/cell): 23.0
# Formation energy without anion corrections (eV per atom): -1.7039



3.
# Ce3YSc2Se6 PBE relaxed
data_Ce3YSc2Se6
_chemical_formula_sum 'Ce6 Y2 Sc4 Se12'
_cell_length_a 6.992
_cell_length_b 12.121
_cell_length_c 7.170
_cell_angle_alpha 90.00
_cell_angle_beta 109.03
_cell_angle_gamma 90.00
_space_group_name_H-M_alt 'C 1 2/m 1'
_space_group_IT_number 12
loop_
_space_group_symop_operation_xyz
'x,y,z'
'-x,-y,-z'
'-x,y,-z'
'x,-y,z'
'x+1/2,y+1/2,z'
'-x+1/2,-y+1/2,-z'
'-x+1/2,y+1/2,-z'
'x+1/2,-y+1/2,z'
loop_
_atom_site_label
_atom_site_type_symbol
_atom_site_fract_x
_atom_site_fract_y
_atom_site_fract_z
Ce1 Ce 0.000 0.000 0.000
Ce2 Ce 0.000 0.337 0.000
Y1 Y 0.000 0.500 0.500
Sc1 Sc 0.000 0.167 0.500
Se1 Se 0.232 0.000 0.725
Se2 Se 0.248 0.329 0.730
# DOS at the Fermi energy (states/eV/cell): 38.8
# Formation energy without anion corrections (eV per atom): -1.7318



Question: The highest DOS at the Fermi energy belongs to which entry?
Answer: Ce3YSc2Se6



Question: Which of these has the highest DOS at the Fermi energy?
Answer: Ce3YSc2Se6



Question: Among the records above, which one has the lowest DOS at the Fermi energy?
Answer: CeYScSe3